VASP calculation (PBE) on crystalline HfHg3Cl at its relaxed geometry.

The structure in POSCAR format:
```
HfHg3Cl
1.0
5.332 0.000 0.000
0.000 5.332 0.000
0.000 0.000 5.332
Hf Hg Cl
1 3 1
direct
0.000 0.000 0.000 Hf
0.000 0.500 0.500 Hg
0.500 0.000 0.500 Hg
0.500 0.500 0.000 Hg
0.500 0.500 0.500 Cl
```

Formation energy from raw total energies   94 kJ/mol of atoms
Volume   152 Å³/f.u.
Offset from the most stable computed form   607 meV/atom